Below is KAg3GeS4 after structural relaxation, with properties calculated at the PBE level.

It has space group P2_1/m (No. 11), with a = 6.371 Å, b = 7.434 Å, c = 10.284 Å, α = 90.00°, β = 106.35° and γ = 90.00°. The inequivalent atoms are K at (0.111, 0.250, 0.362), Ag at (0.308, 0.547, 0.045), Ag at (0.443, 0.750, 0.303), Ge at (0.120, 0.250, 0.780), S at (0.037, 0.250, 0.982), S at (0.151, 0.750, 0.409) and S at (0.325, 0.002, 0.777).

***

Below is CuP5W3 after structural relaxation, with properties calculated at the PBE level.

It has space group P6/mmm (No. 191), with a = 5.3008 Å, b = 5.3008 Å, c = 7.0543 Å, α = 90.00°, β = 90.00° and γ = 120.00°. The inequivalent atoms are Cu at (0.0000, 0.0000, 0.0000), P at (0.0000, 0.0000, 0.5000), P at (0.3333, 0.6667, 0.2141) and W at (0.0000, 0.5000, 0.5000).

For the spin magnetization, the calculation gives 0.00 μB/cell.

***

Number 1: final energy -68.490 eV/cell. Number 2: final energy -65.317 eV/cell.